Entry from the Alexandria database: a relaxed structure of NaCd9Au2 (PBE).

The value obtained for the relative energy among the computed polymorphs is 0.021 eV/atom. The calculation puts the energy relative to the elements at -0.1043 eV per atom. The value obtained for the volume is 268.4 Å³/f.u.

CIF file:
```
data_NaCd9Au2
_cell_length_a 9.6337
_cell_length_b 9.6337
_cell_length_c 3.3399
_cell_angle_alpha 90.00
_cell_angle_beta 90.00
_cell_angle_gamma 120.00
_symmetry_space_group_name_H-M 'P 6/m m m'
_symmetry_Int_Tables_number 191
_symmetry_space_group_name_Hall '-P 6 2'
loop_
_atom_site_label
_atom_site_fract_x
_atom_site_fract_y
_atom_site_fract_z
Na1 0.0000 0.0000 0.0000
Cd1 0.0000 0.5000 0.0000
Cd2 0.1806 0.3612 0.5000
Au1 0.3333 0.6667 0.0000
```

Entry from the Alexandria database: a relaxed structure of Ca3PrMg8 (PBE).

The calculation puts the energy relative to the elements at -0.1153 eV per atom. The value obtained for the volume is 337.2 Å³/f.u.

CIF file:
```
data_Ca3PrMg8
_cell_length_a 6.2054
_cell_length_b 6.2054
_cell_length_c 30.3373
_cell_angle_alpha 90.00
_cell_angle_beta 90.00
_cell_angle_gamma 120.00
_symmetry_space_group_name_H-M 'R 3 m'
_symmetry_Int_Tables_number 160
_symmetry_space_group_name_Hall 'R 3 -2"'
loop_
_atom_site_label
_atom_site_fract_x
_atom_site_fract_y
_atom_site_fract_z
Ca1 0.0000 0.0000 0.0000
Ca2 0.0000 0.0000 0.1258
Ca3 0.0000 0.0000 0.6249
Pr1 0.0000 0.0000 0.5008
Mg1 0.0000 0.0000 0.3128
Mg2 0.0000 0.0000 0.8129
Mg3 0.0009 0.5005 0.0630
Mg4 0.0007 0.5004 0.5622
```

Entry from the Alexandria database: a relaxed structure of Sr3Al3Cd (PBE).

The calculation puts the energy relative to the elements at -0.2103 eV per atom. The value obtained for the volume is 215.8 Å³/f.u.

CIF file:
```
data_Sr3Al3Cd
_cell_length_a 11.723
_cell_length_b 4.915
_cell_length_c 16.038
_cell_angle_alpha 90.00
_cell_angle_beta 110.91
_cell_angle_gamma 90.00
_symmetry_space_group_name_H-M 'C 1 2/m 1'
_symmetry_Int_Tables_number 12
_symmetry_space_group_name_Hall '-C 2y'
loop_
_atom_site_label
_atom_site_fract_x
_atom_site_fract_y
_atom_site_fract_z
Sr1 0.040 0.000 0.382
Sr2 0.108 0.000 0.924
Sr3 0.250 0.000 0.228
Al1 0.047 0.500 0.229
Al2 0.093 0.500 0.078
Al3 0.124 0.500 0.539
Cd1 0.249 0.500 0.398
```

Entry from the Alexandria database: a relaxed structure of Ni2HgIr (PBE).

The calculation puts the energy relative to the elements at 0.3225 eV per atom. The value obtained for the volume is 58.9 Å³/f.u.

CIF file:
```
data_Ni2HgIr
_cell_length_a 8.537
_cell_length_b 2.828
_cell_length_c 4.957
_cell_angle_alpha 90.00
_cell_angle_beta 100.18
_cell_angle_gamma 90.00
_symmetry_space_group_name_H-M 'C 1 2/m 1'
_symmetry_Int_Tables_number 12
_symmetry_space_group_name_Hall '-C 2y'
loop_
_atom_site_label
_atom_site_fract_x
_atom_site_fract_y
_atom_site_fract_z
Ni1 0.243 0.000 0.207
Hg1 0.000 0.000 0.500
Ir1 0.000 0.500 0.000
```

Entry from the Alexandria database: a relaxed structure of TbCeEr2Sc4 (PBE).

The calculation puts the energy relative to the elements at 0.0542 eV per atom. The value obtained for the volume is 219.6 Å³/f.u.

CIF file:
```
data_TbCeEr2Sc4
_cell_length_a 4.896
_cell_length_b 4.898
_cell_length_c 9.160
_cell_angle_alpha 90.00
_cell_angle_beta 90.01
_cell_angle_gamma 90.00
_symmetry_space_group_name_H-M 'P 1 2/m 1'
_symmetry_Int_Tables_number 10
_symmetry_space_group_name_Hall '-P 2y'
loop_
_atom_site_label
_atom_site_fract_x
_atom_site_fract_y
_atom_site_fract_z
Tb1 0.000 0.000 0.000
Ce1 0.500 0.500 0.500
Er1 0.000 0.000 0.500
Er2 0.500 0.500 0.000
Sc1 0.001 0.500 0.747
Sc2 0.499 0.000 0.253
```

Entry from the Alexandria database: a relaxed structure of Y12Bi6Os (PBE).

The calculation puts the energy relative to the elements at -0.4798 eV per atom. The value obtained for the volume is 626.0 Å³/f.u.

CIF file:
```
data_Y12Bi6Os
_cell_length_a 13.2991
_cell_length_b 13.2991
_cell_length_c 12.2605
_cell_angle_alpha 90.00
_cell_angle_beta 90.00
_cell_angle_gamma 120.00
_symmetry_space_group_name_H-M 'R -3'
_symmetry_Int_Tables_number 148
_symmetry_space_group_name_Hall '-R 3'
loop_
_atom_site_label
_atom_site_fract_x
_atom_site_fract_y
_atom_site_fract_z
Y1 0.0282 0.1852 0.3852
Y2 0.0614 0.1888 0.8782
Bi1 0.0438 0.2872 0.6387
Os1 0.0000 0.0000 0.0000
```

Entry from the Alexandria database: a relaxed structure of AgH2CS2N (PBE).

The value obtained for the total energy is -5.1352 eV per atom. The value obtained for the volume is 101.6 Å³/f.u.

CIF file:
```
data_AgH2CS2N
_cell_length_a 8.041
_cell_length_b 8.041
_cell_length_c 12.575
_cell_angle_alpha 90.00
_cell_angle_beta 90.00
_cell_angle_gamma 90.00
_symmetry_space_group_name_H-M 'I -4 2 d'
_symmetry_Int_Tables_number 122
_symmetry_space_group_name_Hall 'I -4 2bw'
loop_
_atom_site_label
_atom_site_fract_x
_atom_site_fract_y
_atom_site_fract_z
Ag1 0.000 0.000 0.156
H1 0.097 0.654 0.591
C1 0.134 0.250 0.625
S1 0.099 0.737 0.947
N1 0.031 0.750 0.625
```

Entry from the Alexandria database: a relaxed structure of SrNd2IO8 (PBE).

The value obtained for the total energy is -6.3301 eV per atom. The value obtained for the volume is 181.2 Å³/f.u.

CIF file:
```
data_SrNd2IO8
_cell_length_a 4.781
_cell_length_b 5.011
_cell_length_c 7.584
_cell_angle_alpha 92.18
_cell_angle_beta 91.51
_cell_angle_gamma 93.24
_symmetry_space_group_name_H-M 'P -1'
_symmetry_Int_Tables_number 2
_symmetry_space_group_name_Hall '-P 1'
loop_
_atom_site_label
_atom_site_fract_x
_atom_site_fract_y
_atom_site_fract_z
Sr1 0.000 0.000 0.000
Nd1 0.461 0.468 0.733
I1 0.000 0.000 0.500
O1 0.095 0.742 0.316
O2 0.171 0.832 0.691
O3 0.325 0.223 0.466
O4 0.478 0.259 0.003
```

no.,density of states at the Fermi level (states/eV/cell)
1,4.52
2,27.80
3,22.89
4,12.71
5,14.06
6,38.52
7,0.00
8,1.78